# 1
# RbSrLaI6 (PBE-GGA, relaxed)
# Total magnetization ... 0.00 μB/f.u.
# VASP energy ... -3.462 eV per atom
# Raw formation energy ... -1.587 eV/atom
data_RbSrLaI6
_chemical_formula_sum 'Rb2 Sr2 La2 I12'
_cell_length_a 8.4174
_cell_length_b 8.4174
_cell_length_c 15.8325
_cell_angle_alpha 90.00
_cell_angle_beta 90.00
_cell_angle_gamma 120.00
_symmetry_space_group_name_H-M 'P -3 1 c'
_symmetry_Int_Tables_number 163
_symmetry_space_group_name_Hall '-P 3 2c'
loop_
_atom_site_label
_atom_site_type_symbol
_atom_site_fract_x
_atom_site_fract_y
_atom_site_fract_z
Rb1 Rb 0.0000 0.0000 0.0000
Sr1 Sr 0.3333 0.6667 0.2500
La1 La 0.3333 0.6667 0.7500
I1 I 0.0105 0.3749 0.6331

# 2
# Ac6GaNi2Br3 (PBE-GGA, relaxed)
# Total magnetization ... 0.00 μB/f.u.
# VASP energy ... -4.526 eV per atom
# Raw formation energy ... -0.838 eV/atom
data_Ac6GaNi2Br3
_chemical_formula_sum 'Ac12 Ga2 Ni4 Br6'
_cell_length_a 20.5275
_cell_length_b 4.3149
_cell_length_c 9.7025
_cell_angle_alpha 90.00
_cell_angle_beta 107.85
_cell_angle_gamma 90.00
_symmetry_space_group_name_H-M 'C 1 2/m 1'
_symmetry_Int_Tables_number 12
loop_
_symmetry_equiv_pos_as_xyz
'x,y,z'
'-x,-y,-z'
'-x,y,-z'
'x,-y,z'
'x+1/2,y+1/2,z'
'-x+1/2,-y+1/2,-z'
'-x+1/2,y+1/2,-z'
'x+1/2,-y+1/2,z'
loop_
_atom_site_label
_atom_site_type_symbol
_atom_site_fract_x
_atom_site_fract_y
_atom_site_fract_z
Ac1 Ac 0.0165 0.0000 0.2451
Ac2 Ac 0.1608 0.5000 0.1233
Ac3 Ac 0.1798 0.5000 0.5535
Ga1 Ga 0.0000 0.5000 0.0000
Ni1 Ni 0.1695 0.0000 0.3399
Br1 Br 0.0000 0.5000 0.5000
Br2 Br 0.1598 0.0000 0.8348